1.
A plane-wave DFT calculation with PBE was carried out for an optimized crystal structure of Mg2PdCl2.

Geometry as CIF:
```
data_Mg2PdCl2
_chemical_formula_sum 'Mg4 Pd2 Cl4'
_space_group_name_H-M_alt 'P 4/m b m'
_space_group_IT_number 127
_space_group_name_Hall '-P 4 2ab'
_cell_length_a 7.704
_cell_length_b 7.704
_cell_length_c 3.335
_cell_angle_alpha 90.00
_cell_angle_beta 90.00
_cell_angle_gamma 90.00
loop_
_atom_site_label
_atom_site_type_symbol
_atom_site_fract_x
_atom_site_fract_y
_atom_site_fract_z
Mg1 Mg 0.205 0.295 0.000
Pd1 Pd 0.000 0.000 0.500
Cl1 Cl 0.130 0.630 0.500
```

The size of the total moment is 0.00 μB/cell. The value obtained for the energy above the most stable polymorph in this dataset is 0 kJ/mol of formula units. The formation energy (no corrections) is -505 meV/atom.

=====

2.
A plane-wave DFT calculation with PBE was carried out for an optimized crystal structure of Mg2PdCl2.

Geometry as CIF:
```
data_Mg2PdCl2
_chemical_formula_sum 'Mg4 Pd2 Cl4'
_space_group_name_H-M_alt 'I 4/m m m'
_space_group_IT_number 139
_space_group_name_Hall '-I 4 2'
_cell_length_a 4.799
_cell_length_b 4.799
_cell_length_c 9.249
_cell_angle_alpha 90.00
_cell_angle_beta 90.00
_cell_angle_gamma 90.00
loop_
_atom_site_label
_atom_site_type_symbol
_atom_site_fract_x
_atom_site_fract_y
_atom_site_fract_z
Mg1 Mg 0.000 0.500 0.250
Pd1 Pd 0.000 0.000 0.000
Cl1 Cl 0.000 0.000 0.342
```

The size of the total moment is 0.00 μB/cell. The value obtained for the energy above the most stable polymorph in this dataset is 36 kJ/mol of formula units. The formation energy (no corrections) is -430 meV/atom.

=====

3.
A plane-wave DFT calculation with PBE was carried out for an optimized crystal structure of Rb2MgPdCl6.

Geometry as CIF:
```
data_Rb2MgPdCl6
_chemical_formula_sum 'Rb12 Mg6 Pd6 Cl36'
_space_group_name_H-M_alt 'R -3 m'
_space_group_IT_number 166
_space_group_name_Hall '-R 3 2"'
_cell_length_a 7.2060
_cell_length_b 7.2060
_cell_length_c 36.2892
_cell_angle_alpha 90.00
_cell_angle_beta 90.00
_cell_angle_gamma 120.00
loop_
_atom_site_label
_atom_site_type_symbol
_atom_site_fract_x
_atom_site_fract_y
_atom_site_fract_z
Rb1 Rb 0.0000 0.0000 0.1231
Rb2 Rb 0.0000 0.0000 0.2945
Mg1 Mg 0.0000 0.0000 0.4139
Pd1 Pd 0.0000 0.0000 0.0000
Pd2 Pd 0.0000 0.0000 0.5000
Cl1 Cl 0.0002 0.5001 0.2923
Cl2 Cl 0.0149 0.5074 0.1232
```

The size of the total moment is 11.59 μB/cell. The value obtained for the energy above the most stable polymorph in this dataset is 0 kJ/mol of formula units. The formation energy (no corrections) is -1438 meV/atom.

=====

4.
A plane-wave DFT calculation with PBE was carried out for an optimized crystal structure of Rb2MgPdCl6.

Geometry as CIF:
```
data_Rb2MgPdCl6
_chemical_formula_sum 'Rb4 Mg2 Pd2 Cl12'
_space_group_name_H-M_alt 'I 4/m m m'
_space_group_IT_number 139
_space_group_name_Hall '-I 4 2'
_cell_length_a 7.185
_cell_length_b 7.185
_cell_length_c 10.154
_cell_angle_alpha 90.00
_cell_angle_beta 90.00
_cell_angle_gamma 90.00
loop_
_atom_site_label
_atom_site_type_symbol
_atom_site_fract_x
_atom_site_fract_y
_atom_site_fract_z
Rb1 Rb 0.000 0.500 0.250
Mg1 Mg 0.000 0.000 0.000
Pd1 Pd 0.000 0.000 0.500
Cl1 Cl 0.000 0.000 0.249
Cl2 Cl 0.249 0.249 0.000
```

The size of the total moment is 3.80 μB/cell. The value obtained for the energy above the most stable polymorph in this dataset is 27 kJ/mol of formula units. The formation energy (no corrections) is -1409 meV/atom.

=====

5.
A plane-wave DFT calculation with PBE was carried out for an optimized crystal structure of MgSnPd2Cl.

Geometry as CIF:
```
data_MgSnPd2Cl
_chemical_formula_sum 'Mg1 Sn1 Pd2 Cl1'
_space_group_name_H-M_alt 'P 4/m m m'
_space_group_IT_number 123
_space_group_name_Hall '-P 4 2'
_cell_length_a 5.019
_cell_length_b 5.019
_cell_length_c 5.319
_cell_angle_alpha 90.00
_cell_angle_beta 90.00
_cell_angle_gamma 90.00
loop_
_atom_site_label
_atom_site_type_symbol
_atom_site_fract_x
_atom_site_fract_y
_atom_site_fract_z
Mg1 Mg 0.000 0.000 0.000
Sn1 Sn 0.500 0.500 0.500
Pd1 Pd 0.000 0.500 0.500
Cl1 Cl 0.500 0.500 0.000
```

The size of the total moment is 0.00 μB/cell. The formation energy (no corrections) is 128 meV/atom.

=====

6.
A plane-wave DFT calculation with PBE was carried out for an optimized crystal structure of Mg2SnPdCl.

Geometry as CIF:
```
data_Mg2SnPdCl
_chemical_formula_sum 'Mg2 Sn1 Pd1 Cl1'
_space_group_name_H-M_alt 'P 4/m m m'
_space_group_IT_number 123
_space_group_name_Hall '-P 4 2'
_cell_length_a 5.420
_cell_length_b 5.420
_cell_length_c 5.266
_cell_angle_alpha 90.00
_cell_angle_beta 90.00
_cell_angle_gamma 90.00
loop_
_atom_site_label
_atom_site_type_symbol
_atom_site_fract_x
_atom_site_fract_y
_atom_site_fract_z
Mg1 Mg 0.000 0.500 0.000
Sn1 Sn 0.000 0.000 0.000
Pd1 Pd 0.500 0.500 0.500
Cl1 Cl 0.000 0.000 0.500
```

The size of the total moment is 0.00 μB/cell. The formation energy (no corrections) is 353 meV/atom.

=====

7.
A plane-wave DFT calculation with PBE was carried out for an optimized crystal structure of MgTa2PdCl.

Geometry as CIF:
```
data_MgTa2PdCl
_chemical_formula_sum 'Mg1 Ta2 Pd1 Cl1'
_space_group_name_H-M_alt 'P 4/m m m'
_space_group_IT_number 123
_space_group_name_Hall '-P 4 2'
_cell_length_a 4.525
_cell_length_b 4.525
_cell_length_c 4.661
_cell_angle_alpha 90.00
_cell_angle_beta 90.00
_cell_angle_gamma 90.00
loop_
_atom_site_label
_atom_site_type_symbol
_atom_site_fract_x
_atom_site_fract_y
_atom_site_fract_z
Mg1 Mg 0.000 0.000 0.000
Ta1 Ta 0.000 0.500 0.500
Pd1 Pd 0.500 0.500 0.000
Cl1 Cl 0.500 0.500 0.500
```

The size of the total moment is 0.00 μB/cell. The formation energy (no corrections) is 687 meV/atom.

=====

8.
A plane-wave DFT calculation with PBE was carried out for an optimized crystal structure of MgTc2PdCl.

Geometry as CIF:
```
data_MgTc2PdCl
_chemical_formula_sum 'Mg1 Tc2 Pd1 Cl1'
_space_group_name_H-M_alt 'P 4/m m m'
_space_group_IT_number 123
_space_group_name_Hall '-P 4 2'
_cell_length_a 4.974
_cell_length_b 4.974
_cell_length_c 5.038
_cell_angle_alpha 90.00
_cell_angle_beta 90.00
_cell_angle_gamma 90.00
loop_
_atom_site_label
_atom_site_type_symbol
_atom_site_fract_x
_atom_site_fract_y
_atom_site_fract_z
Mg1 Mg 0.000 0.000 0.000
Tc1 Tc 0.000 0.500 0.500
Pd1 Pd 0.000 0.000 0.500
Cl1 Cl 0.500 0.500 0.000
```

The size of the total moment is 7.23 μB/cell. The formation energy (no corrections) is 1213 meV/atom.

=====

9.
A plane-wave DFT calculation with PBE was carried out for an optimized crystal structure of MgTl2PdCl6.

Geometry as CIF:
```
data_MgTl2PdCl6
_chemical_formula_sum 'Mg6 Tl12 Pd6 Cl36'
_space_group_name_H-M_alt 'R -3 m'
_space_group_IT_number 166
_space_group_name_Hall '-R 3 2"'
_cell_length_a 7.1225
_cell_length_b 7.1225
_cell_length_c 36.3421
_cell_angle_alpha 90.00
_cell_angle_beta 90.00
_cell_angle_gamma 120.00
loop_
_atom_site_label
_atom_site_type_symbol
_atom_site_fract_x
_atom_site_fract_y
_atom_site_fract_z
Mg1 Mg 0.0000 0.0000 0.0848
Tl1 Tl 0.0000 0.0000 0.2006
Tl2 Tl 0.0000 0.0000 0.3818
Pd1 Pd 0.0000 0.0000 0.0000
Pd2 Pd 0.0000 0.0000 0.5000
Cl1 Cl 0.0025 0.5013 0.7924
Cl2 Cl 0.0125 0.5063 0.6237
```

The size of the total moment is 10.90 μB/cell. The formation energy (no corrections) is -1031 meV/atom.

=====

10.
A plane-wave DFT calculation with PBE was carried out for an optimized crystal structure of MgVPdCl2.

Geometry as CIF:
```
data_MgVPdCl2
_chemical_formula_sum 'Mg1 V1 Pd1 Cl2'
_space_group_name_H-M_alt 'P 4/m m m'
_space_group_IT_number 123
_space_group_name_Hall '-P 4 2'
_cell_length_a 4.521
_cell_length_b 4.521
_cell_length_c 5.167
_cell_angle_alpha 90.00
_cell_angle_beta 90.00
_cell_angle_gamma 90.00
loop_
_atom_site_label
_atom_site_type_symbol
_atom_site_fract_x
_atom_site_fract_y
_atom_site_fract_z
Mg1 Mg 0.000 0.000 0.000
V1 V 0.500 0.500 0.500
Pd1 Pd 0.500 0.500 0.000
Cl1 Cl 0.000 0.500 0.500
```

The size of the total moment is 0.00 μB/cell. The formation energy (no corrections) is -155 meV/atom.

=====

11.
A plane-wave DFT calculation with PBE was carried out for an optimized crystal structure of Pm3MgCl.

Geometry as CIF:
```
data_Pm3MgCl
_chemical_formula_sum 'Pm3 Mg1 Cl1'
_space_group_name_H-M_alt 'P m -3 m'
_space_group_IT_number 221
_space_group_name_Hall '-P 4 2 3'
_cell_length_a 5.353
_cell_length_b 5.353
_cell_length_c 5.353
_cell_angle_alpha 90.00
_cell_angle_beta 90.00
_cell_angle_gamma 90.00
loop_
_atom_site_label
_atom_site_type_symbol
_atom_site_fract_x
_atom_site_fract_y
_atom_site_fract_z
Pm1 Pm 0.000 0.000 0.500
Mg1 Mg 0.500 0.500 0.500
Cl1 Cl 0.000 0.000 0.000
```

The size of the total moment is 0.00 μB/cell. The formation energy (no corrections) is -470 meV/atom.

=====

12.
A plane-wave DFT calculation with PBE was carried out for an optimized crystal structure of RbPmMgCl6.

Geometry as CIF:
```
data_RbPmMgCl6
_chemical_formula_sum 'Rb2 Pm2 Mg2 Cl12'
_space_group_name_H-M_alt 'P -3 1 c'
_space_group_IT_number 163
_space_group_name_Hall '-P 3 2c'
_cell_length_a 6.9229
_cell_length_b 6.9229
_cell_length_c 14.4542
_cell_angle_alpha 90.00
_cell_angle_beta 90.00
_cell_angle_gamma 120.00
loop_
_atom_site_label
_atom_site_type_symbol
_atom_site_fract_x
_atom_site_fract_y
_atom_site_fract_z
Rb1 Rb 0.0000 0.0000 0.0000
Pm1 Pm 0.3333 0.6667 0.2500
Mg1 Mg 0.3333 0.6667 0.7500
Cl1 Cl 0.0210 0.3866 0.6468
```

The size of the total moment is 0.00 μB/cell. The formation energy (no corrections) is -2093 meV/atom.

=====

The final energy results, record by record, are as follows: -14.598, -14.224, -34.179, -33.896, -17.190, -12.469, -28.905, -23.299, -32.913, -20.375, -20.041, -37.232 eV/f.u..